# CaS3I (GGA-PBE, optimized geometry)
# space-group type	Pm-3m (221)
# raw formation energy	-0.0697	eV/atom
# theoretical density	3.29	g cm⁻³
# distance to the lowest polymorph of the same formula	0.0000	eV/atom
# density of states at the Fermi level	0.253	states/eV per atom
# calculated total energy	-3.26	eV/atom
data_CaS3I
_chemical_formula_sum 'Ca1 S3 I1'
_cell_length_a 5.103
_cell_length_b 5.103
_cell_length_c 5.103
_cell_angle_alpha 90.00
_cell_angle_beta 90.00
_cell_angle_gamma 90.00
_symmetry_space_group_name_H-M 'P 1'
_symmetry_Int_Tables_number 1
_symmetry_space_group_name_Hall 'P 1'
loop_
_atom_site_label
_atom_site_type_symbol
_atom_site_fract_x
_atom_site_fract_y
_atom_site_fract_z
Ca1 Ca 0.000 0.000 0.000
S1 S 0.000 0.500 0.500
S2 S 0.500 0.000 0.500
S3 S 0.500 0.500 0.000
I1 I 0.500 0.500 0.500